{"formula": "TeRuW2", "functional": "PBE", "state": "relaxed", "cell": [[-3.183, 2.150, -2.482], [-1.182, -1.627, -4.107], [-4.108, -1.917, -0.605]], "species": ["W", "W", "Te", "Ru"], "frac_coords": [[0.000, 0.000, 0.000], [0.750, 0.750, 0.750], [0.250, 0.250, 0.250], [0.500, 0.500, 0.500]], "spacegroup": "No. 216", "formation_energy_uncorrected_ev_per_atom": 0.676, "e_tot_ev_per_cell": -35.62, "m_tot_mub_per_fu": 0.000}

***

{"formula": "Rb2CaIBr3", "functional": "PBE", "state": "relaxed", "cell": [[6.150, 0.000, 0.000], [0.000, 5.741, 0.000], [-3.075, -2.870, 8.743]], "species": ["Br", "Br", "Rb", "Ca", "Rb", "I", "Br"], "frac_coords": [[0.000, 0.500, 0.000], [0.836, 0.836, 0.671], [0.356, 0.356, 0.713], [0.000, 0.000, 0.000], [0.644, 0.644, 0.287], [0.500, 0.000, 0.000], [0.164, 0.164, 0.329]], "spacegroup": "No. 71", "formation_energy_uncorrected_ev_per_atom": -1.761, "e_tot_ev_per_cell": -22.83, "m_tot_mub_per_fu": 0.000}